Arrangement P

PIr2Br | PBEsol | relaxed

a = 2.830 Å, b = 4.288 Å, c = 5.053 Å
α = 90.00°, β = 90.00°, γ = 90.00°
Sites, in units of the cell vectors:
P1 0.000 0.000 0.000
Ir1 0.000 0.500 0.500
Ir2 0.500 0.500 0.000
Br1 0.500 0.000 0.500

The symmetry is No. 47. The magnetic moment comes out at 0.0000 μB/atom. The calculation puts the density of states at the Fermi level at 2.6 states/eV/cell. The density comes out at 13.412 Mg/m³.


Arrangement Q

PIr2Br | PBEsol | relaxed

a = 4.381 Å, b = 4.381 Å, c = 4.381 Å
α = 60.00°, β = 60.00°, γ = 60.00°
Sites, in units of the cell vectors:
P1 0.000 0.000 0.000
Ir1 0.250 0.250 0.250
Ir2 0.750 0.750 0.750
Br1 0.500 0.500 0.500

The symmetry is No. 225. The magnetic moment comes out at 0.0012 μB/atom. The calculation puts the density of states at the Fermi level at 5.2 states/eV/cell. The density comes out at 13.835 Mg/m³.


Pick the most stable structure from those above. Pick: arrangement Q